Record 1
A relaxed structure of Rb4AcO4. Source: Alexandria, functional PBE.

```
data_Rb4AcO4
_symmetry_space_group_name_H-M 'C 1 2/m 1'
_symmetry_Int_Tables_number 12
_symmetry_space_group_name_Hall '-C 2y'
_cell_length_a 13.653
_cell_length_b 3.986
_cell_length_c 9.805
_cell_angle_alpha 90.00
_cell_angle_beta 121.99
_cell_angle_gamma 90.00
loop_
_atom_site_label
_atom_site_type_symbol
_atom_site_fract_x
_atom_site_fract_y
_atom_site_fract_z
_atom_site_occupancy
Rb1 Rb 0.118 0.000 0.395 1
Rb2 Rb 0.207 0.500 0.819 1
Ac1 Ac 0.000 0.500 0.000 1
O1 O 0.073 0.000 0.909 1
O2 O 0.180 0.500 0.263 1
```

For the uncorrected formation energy, the calculation gives -1.60 eV/atom.

Record 2
A relaxed structure of Sn4Hg. Source: Alexandria, functional PBE.

```
data_Sn4Hg
_symmetry_space_group_name_H-M 'C 1 2/c 1'
_symmetry_Int_Tables_number 15
_symmetry_space_group_name_Hall '-C 2yc'
_cell_length_a 9.756
_cell_length_b 8.777
_cell_length_c 6.529
_cell_angle_alpha 90.00
_cell_angle_beta 93.99
_cell_angle_gamma 90.00
loop_
_atom_site_label
_atom_site_type_symbol
_atom_site_fract_x
_atom_site_fract_y
_atom_site_fract_z
_atom_site_occupancy
Sn1 Sn 0.137 0.089 0.001 1
Sn2 Sn 0.157 0.337 0.338 1
Hg1 Hg 0.000 0.355 0.750 1
```

Its formation energy is 61 meV/atom.

Record 3
A relaxed structure of SmTa3Os3. Source: Alexandria, functional PBE.

```
data_SmTa3Os3
_symmetry_space_group_name_H-M 'P m -3 n'
_symmetry_Int_Tables_number 223
_symmetry_space_group_name_Hall '-P 4n 2 3'
_cell_length_a 7.057
_cell_length_b 7.057
_cell_length_c 7.057
_cell_angle_alpha 90.00
_cell_angle_beta 90.00
_cell_angle_gamma 90.00
loop_
_atom_site_label
_atom_site_type_symbol
_atom_site_fract_x
_atom_site_fract_y
_atom_site_fract_z
_atom_site_occupancy
Sm1 Sm 0.000 0.000 0.000 1
Ta1 Ta 0.000 0.250 0.500 1
Os1 Os 0.000 0.500 0.250 1
```

Its formation energy is 840 meV/atom.

Record 4
A relaxed structure of Ho12Tl5Co2. Source: Alexandria, functional PBE.

```
data_Ho12Tl5Co2
_symmetry_space_group_name_H-M 'C 1 2/m 1'
_symmetry_Int_Tables_number 12
_symmetry_space_group_name_Hall '-C 2y'
_cell_length_a 16.697
_cell_length_b 7.556
_cell_length_c 9.688
_cell_angle_alpha 90.00
_cell_angle_beta 106.38
_cell_angle_gamma 90.00
loop_
_atom_site_label
_atom_site_type_symbol
_atom_site_fract_x
_atom_site_fract_y
_atom_site_fract_z
_atom_site_occupancy
Ho1 Ho 0.000 0.000 0.227 1
Ho2 Ho 0.004 0.500 0.827 1
Ho3 Ho 0.152 0.252 0.575 1
Ho4 Ho 0.157 0.235 0.083 1
Tl1 Tl 0.000 0.500 0.500 1
Tl2 Tl 0.194 0.000 0.838 1
Tl3 Tl 0.195 0.000 0.359 1
Co1 Co 0.000 0.210 0.000 1
```

Its formation energy is -76 meV/atom.

Record 5
A relaxed structure of FeNiW3. Source: Alexandria, functional PBE.

```
data_FeNiW3
_symmetry_space_group_name_H-M 'P m -3 m'
_symmetry_Int_Tables_number 221
_symmetry_space_group_name_Hall '-P 4 2 3'
_cell_length_a 4.416
_cell_length_b 4.416
_cell_length_c 4.416
_cell_angle_alpha 90.00
_cell_angle_beta 90.00
_cell_angle_gamma 90.00
loop_
_atom_site_label
_atom_site_type_symbol
_atom_site_fract_x
_atom_site_fract_y
_atom_site_fract_z
_atom_site_occupancy
Fe1 Fe 0.000 0.000 0.000 1
Ni1 Ni 0.500 0.500 0.500 1
W1 W 0.000 0.500 0.500 1
```

Its formation energy is 1862 meV/atom.

Record 6
A relaxed structure of La2Al3InPd4. Source: Alexandria, functional PBE.

```
data_La2Al3InPd4
_symmetry_space_group_name_H-M 'P -4 m 2'
_symmetry_Int_Tables_number 115
_symmetry_space_group_name_Hall 'P -4 -2'
_cell_length_a 4.535
_cell_length_b 4.535
_cell_length_c 10.101
_cell_angle_alpha 90.00
_cell_angle_beta 90.00
_cell_angle_gamma 90.00
loop_
_atom_site_label
_atom_site_type_symbol
_atom_site_fract_x
_atom_site_fract_y
_atom_site_fract_z
_atom_site_occupancy
La1 La 0.000 0.500 0.242 1
Al1 Al 0.000 0.500 0.887 1
Al2 Al 0.500 0.500 0.500 1
In1 In 0.000 0.000 0.500 1
Pd1 Pd 0.000 0.000 0.000 1
Pd2 Pd 0.000 0.500 0.642 1
Pd3 Pd 0.500 0.500 0.000 1
```

Its formation energy is -814 meV/atom.

no.,D(E_F) (states/eV/cell),spin magnetization (Bohr magnetons per cell)
1,12.165,2.12
2,8.682,0.00
3,22.075,0.00
4,31.758,0.00
5,11.030,0.00
6,9.058,0.00